Run 1
Density functional theory data (GGA-PBE) for a relaxed structure of Zn2Ni2P.

Results
Fermi-level density of states = 5.07 states/eV/cell

a b c (Å): 5.8186 5.8186 3.8807
angles (deg): 90.00 90.00 90.00
Last column: nearest neighbours and their distance in Å.
Space group P4/mbm (No. 127)
Unique sites:
Zn 0.1540 0.3460 0.0000 [4 per cell]  6 Ni 2.48-2.66, 1 Zn 2.53
Ni 0.1581 0.6581 0.5000 [4 per cell]  2 P 2.19
P 0.0000 0.0000 0.5000 [2 per cell]  4 Ni 2.19


Run 2
Density functional theory data (GGA-PBE) for a relaxed structure of Zn2Ni2P.

Results
Fermi-level density of states = 3.61 states/eV/cell

a b c (Å): 3.2822 3.2822 12.5461
angles (deg): 90.00 90.00 90.00
Last column: nearest neighbours and their distance in Å.
Space group I4/mmm (No. 139)
Unique sites:
Zn 0.0000 0.5000 0.2500 [4 per cell]  4 Zn 2.32, 4 Ni 2.57
Ni 0.0000 0.0000 0.0926 [4 per cell]  1 Ni 2.32, 4 Zn 2.57, 4 P 2.60
P 0.0000 0.0000 0.5000 [2 per cell]  8 Ni 2.60


Result of the stability comparison: run 2 is the least stable of them.


Run 1
Density functional theory data (GGA-PBE) for a relaxed structure of ZnNi3P.

Results
Fermi-level density of states = 4.36 states/eV/cell

a b c (Å): 4.2887 4.2887 4.2887
angles (deg): 90.00 90.00 90.00
Last column: nearest neighbours and their distance in Å.
Space group Pm-3m (No. 221)
Unique sites:
Zn 0.0000 0.0000 0.0000 [1 per cell]  6 Ni 2.14
Ni 0.0000 0.0000 0.5000 [3 per cell]  2 Zn 2.14
P 0.5000 0.5000 0.5000 [1 per cell]  12 Ni 3.03


Run 2
Density functional theory data (GGA-PBE) for a relaxed structure of ZnNi3P.

Results
Fermi-level density of states = 3.07 states/eV/cell

a b c (Å): 4.1367 4.1367 4.1367
angles (deg): 90.00 90.00 90.00
Last column: nearest neighbours and their distance in Å.
Space group Pm-3m (No. 221)
Unique sites:
Zn 0.0000 0.0000 0.0000 [1 per cell]  12 Ni 2.93
Ni 0.0000 0.5000 0.5000 [3 per cell]  2 P 2.07
P 0.5000 0.5000 0.5000 [1 per cell]  6 Ni 2.07


Result of the stability comparison: run 1 is the least stable of them.


Run 1
Density functional theory data (GGA-PBE) for a relaxed structure of ZrNiP3.

Results
Fermi-level density of states = 3.29 states/eV/cell

a b c (Å): 4.3902 4.3902 4.3902
angles (deg): 90.00 90.00 90.00
Last column: nearest neighbours and their distance in Å.
Space group Pm-3m (No. 221)
Unique sites:
Zr 0.0000 0.0000 0.0000 [1 per cell]  12 P 3.10
Ni 0.5000 0.5000 0.5000 [1 per cell]  6 P 2.20
P 0.0000 0.5000 0.5000 [3 per cell]  2 Ni 2.20


Run 2
Density functional theory data (GGA-PBE) for a relaxed structure of ZrNiP3.

Results
Fermi-level density of states = 5.75 states/eV/cell

a b c (Å): 4.9696 4.9696 4.9696
angles (deg): 90.00 90.00 90.00
Last column: nearest neighbours and their distance in Å.
Space group Pm-3m (No. 221)
Unique sites:
Zr 0.0000 0.0000 0.0000 [1 per cell]  6 P 2.48
Ni 0.5000 0.5000 0.5000 [1 per cell]  12 P 3.51
P 0.0000 0.0000 0.5000 [3 per cell]  2 Zr 2.48


Result of the stability comparison: run 2 is the least stable of them.


Run 1
Density functional theory data (GGA-PBE) for a relaxed structure of Pa3Ni.

Results
Fermi-level density of states = 7.52 states/eV/cell

a b c (Å): 3.0864 3.1694 9.0792
angles (deg): 90.00 90.00 90.00
Last column: nearest neighbours and their distance in Å.
Space group Pmm2 (No. 25)
Unique sites:
Pa 0.0000 0.0000 0.0000 [1 per cell]  10 Pa 3.09-3.31
Pa 0.0000 0.5000 0.2954 [1 per cell]  4 Ni 2.77, 2 Pa 3.09
Pa 0.5000 0.5000 0.7281 [1 per cell]  2 Ni 2.76, 2 Pa 3.09
Ni 0.5000 0.0000 0.4795 [1 per cell]  6 Pa 2.76-2.77, 2 Ni 3.09


Run 2
Density functional theory data (GGA-PBE) for a relaxed structure of Pa3Ni.

Results
Fermi-level density of states = 14.69 states/eV/cell

a b c (Å): 3.2659 9.7361 5.4961
angles (deg): 90.00 90.00 90.00
Last column: nearest neighbours and their distance in Å.
Space group Imm2 (No. 44)
Unique sites:
Pa 0.0000 0.0000 0.0000 [2 per cell]  2 Ni 2.81
Pa 0.0000 0.2163 0.5537 [4 per cell]  2 Ni 2.77
Ni 0.0000 0.5000 0.9160 [2 per cell]  6 Pa 2.77-2.81


Run 3
Density functional theory data (GGA-PBE) for a relaxed structure of Pa3Ni.

Results
Fermi-level density of states = 28.31 states/eV/cell

a b c (Å): 3.2897 11.0741 9.6231
angles (deg): 90.00 90.00 90.00
Last column: nearest neighbours and their distance in Å.
Space group Cmcm (No. 63)
Unique sites:
Pa 0.0000 0.0587 0.2500 [4 per cell]  2 Ni 2.71
Pa 0.0000 0.3648 0.0598 [8 per cell]  2 Ni 2.75
Ni 0.0000 0.2464 0.7500 [4 per cell]  6 Pa 2.71-2.75


Run 4
Density functional theory data (GGA-PBE) for a relaxed structure of Pa3Ni.

Results
Fermi-level density of states = 29.71 states/eV/cell

a b c (Å): 9.4615 6.7990 5.3933
angles (deg): 90.00 90.00 90.00
Last column: nearest neighbours and their distance in Å.
Space group Cmcm (No. 63)
Unique sites:
Pa 0.0000 0.1599 0.2500 [4 per cell]  2 Ni 2.68, 2 Pa 2.89
Pa 0.1900 0.1724 0.7500 [8 per cell]  4 Pa 2.89-3.15, 2 Ni 3.16
Ni 0.0000 0.5000 0.0000 [4 per cell]  2 Pa 2.68, 2 Ni 2.70


Result of the stability comparison: run 1 is the least stable of them.


Run 1
Density functional theory data (GGA-PBE) for a relaxed structure of Pa2Ni15Pd2.

Results
Fermi-level density of states = 78.05 states/eV/cell

a b c (Å): 8.5024 8.5024 12.1400
angles (deg): 90.00 90.00 120.00
Last column: nearest neighbours and their distance in Å.
Space group R-3m (No. 166, hexagonal axes)
Unique sites:
Pa 0.0000 0.0000 0.1473 [6 per cell]  6 Ni 2.47-2.57, 1 Pd 2.76
Ni 0.0000 0.3237 0.0000 [18 per cell]  6 Ni 2.45-2.49
Ni 0.0000 0.5000 0.5000 [9 per cell]  8 Ni 2.45-2.51, 2 Pa 2.47
Ni 0.0137 0.5068 0.1635 [18 per cell]  8 Ni 2.36-2.51, 1 Pa 2.57
Pd 0.0000 0.0000 0.3745 [6 per cell]  1 Pa 2.76, 12 Ni 2.78-2.92, 1 Pd 3.05


Run 2
Density functional theory data (GGA-PBE) for a relaxed structure of Pa2Ni15Pd2.

Results
Fermi-level density of states = 69.64 states/eV/cell

a b c (Å): 8.3536 8.3536 12.1958
angles (deg): 90.00 90.00 120.00
Last column: nearest neighbours and their distance in Å.
Space group R-3m (No. 166, hexagonal axes)
Unique sites:
Pa 0.0000 0.0000 0.1597 [6 per cell]  1 Pd 2.85, 15 Ni 2.90-3.16
Ni 0.0000 0.3067 0.5000 [18 per cell]  8 Ni 2.41-2.56
Ni 0.0000 0.5000 0.0000 [9 per cell]  8 Ni 2.41-2.45, 2 Pd 2.52
Ni 0.0091 0.5045 0.6542 [18 per cell]  8 Ni 2.37-2.55, 1 Pd 2.63
Pd 0.0000 0.0000 0.3933 [6 per cell]  6 Ni 2.52-2.63, 1 Pd 2.60


Result of the stability comparison: run 1 is the least stable of them.


Run 1
Density functional theory data (GGA-PBE) for a relaxed structure of PaNiPdRh.

Results
Fermi-level density of states = 0.80 states/eV/cell

a b c (Å): 3.9194 4.0090 4.1797
angles (deg): 90.00 90.00 90.00
Last column: nearest neighbours and their distance in Å.
Space group Pmmm (No. 47)
Unique sites:
Pa 0.0000 0.0000 0.0000 [1 per cell]  4 Rh 2.80, 4 Ni 2.86, 4 Pd 2.90
Ni 0.5000 0.0000 0.5000 [1 per cell]  4 Pd 2.80, 4 Pa 2.86, 4 Rh 2.90
Pd 0.0000 0.5000 0.5000 [1 per cell]  4 Ni 2.80, 4 Rh 2.86, 4 Pa 2.90
Rh 0.5000 0.5000 0.0000 [1 per cell]  4 Pa 2.80, 4 Pd 2.86, 4 Ni 2.90


Run 2
Density functional theory data (GGA-PBE) for a relaxed structure of PaNiPdRh.

Results
Fermi-level density of states = 12.12 states/eV/cell

a b c (Å): 6.4607 6.4607 6.4607
angles (deg): 90.00 90.00 90.00
Last column: nearest neighbours and their distance in Å.
Space group F-43m (No. 216)
Unique sites:
Pa 0.0000 0.0000 0.0000 [4 per cell]  4 Ni 2.80, 4 Rh 2.80
Ni 0.2500 0.2500 0.7500 [4 per cell]  4 Pa 2.80, 4 Pd 2.80
Pd 0.0000 0.0000 0.5000 [4 per cell]  4 Ni 2.80, 4 Rh 2.80
Rh 0.2500 0.2500 0.2500 [4 per cell]  4 Pa 2.80, 4 Pd 2.80


Result of the stability comparison: run 2 is the least stable of them.


Run 1
Density functional theory data (GGA-PBE) for a relaxed structure of PmPa2Ni6.

Results
Fermi-level density of states = 11.47 states/eV/cell

a b c (Å): 7.1880 7.1880 3.4230
angles (deg): 90.00 90.00 120.00
Last column: nearest neighbours and their distance in Å.
Space group P6/mmm (No. 191)
Unique sites:
Pm 0.0000 0.0000 0.0000 [1 per cell]  12 Ni 2.98
Pa 0.3333 0.6667 0.0000 [2 per cell]  12 Ni 2.93
Ni 0.0000 0.3388 0.5000 [6 per cell]  3 Ni 2.32-2.44


Run 2
Density functional theory data (GGA-PBE) for a relaxed structure of PmPa2Ni6.

Results
Fermi-level density of states = 16.81 states/eV/cell

a b c (Å): 3.4593 6.9525 12.9448
angles (deg): 90.00 90.00 90.00
Last column: nearest neighbours and their distance in Å.
Space group Immm (No. 71)
Unique sites:
Pm 0.0000 0.0000 0.0000 [2 per cell]  4 Ni 2.85
Pa 0.0000 0.5000 0.1445 [4 per cell]  10 Ni 2.67-2.82
Ni 0.0000 0.1745 0.5000 [4 per cell]  3 Ni 2.43-2.47
Ni 0.0000 0.3009 0.3213 [8 per cell]  4 Ni 2.47-2.77, 3 Pa 2.67-2.75


Result of the stability comparison: run 2 is the least stable of them.


Run 1
Density functional theory data (GGA-PBE) for a relaxed structure of Pa3Ni2Pt.

Results
Fermi-level density of states = 67.35 states/eV/cell

a b c (Å): 7.2109 7.2109 17.2788
angles (deg): 90.00 90.00 120.00
Last column: nearest neighbours and their distance in Å.
Space group R-3c (No. 167, hexagonal axes)
Unique sites:
Pa 0.0000 0.3063 0.2500 [18 per cell]  4 Ni 2.75-2.80, 2 Pt 2.89
Ni 0.0000 0.0000 0.1554 [12 per cell]  1 Pt 2.68, 6 Pa 2.75-2.80
Pt 0.0000 0.0000 0.0000 [6 per cell]  2 Ni 2.68, 6 Pa 2.89


Run 2
Density functional theory data (GGA-PBE) for a relaxed structure of Pa3Ni2Pt.

Results
Fermi-level density of states = 14.46 states/eV/cell

a b c (Å): 3.6400 8.9080 7.3559
angles (deg): 90.00 90.00 90.00
Last column: nearest neighbours and their distance in Å.
Space group Pmc2_1 (No. 26)
Unique sites:
Pa 0.0000 0.0912 0.0000 [2 per cell]  5 Ni 2.74-2.95
Pa 0.5000 0.2395 0.3126 [2 per cell]  3 Ni 2.70-2.79
Pa 0.5000 0.3662 0.8151 [2 per cell]  3 Ni 2.76-2.83, 4 Pt 2.82-2.91
Ni 0.0000 0.2327 0.5836 [2 per cell]  2 Ni 2.55, 1 Pt 2.67, 4 Pa 2.70-2.76
Ni 0.5000 0.0615 0.7087 [2 per cell]  2 Ni 2.55, 6 Pa 2.74-2.83
Pt 0.0000 0.4676 0.0805 [2 per cell]  1 Ni 2.67, 4 Pa 2.82-2.91


Result of the stability comparison: run 1 is the least stable of them.


Run 1
Density functional theory data (GGA-PBE) for a relaxed structure of Pa2Ni2Pt.

Results
Fermi-level density of states = 11.10 states/eV/cell

a b c (Å): 4.2238 5.8836 7.2409
angles (deg): 90.00 90.00 90.00
Last column: nearest neighbours and their distance in Å.
Space group Immm (No. 71)
Unique sites:
Pa 0.0000 0.0000 0.2052 [4 per cell]  6 Ni 2.74-2.86, 1 Pa 2.97, 2 Pt 3.00
Ni 0.0000 0.2918 0.5000 [4 per cell]  1 Ni 2.45, 2 Pt 2.72, 2 Pa 2.74
Pt 0.0000 0.5000 0.0000 [2 per cell]  4 Ni 2.72, 4 Pa 3.00


Run 2
Density functional theory data (GGA-PBE) for a relaxed structure of Pa2Ni2Pt.

Results
Fermi-level density of states = 16.98 states/eV/cell

a b c (Å): 7.0956 7.0956 7.2918
angles (deg): 90.00 90.00 90.00
Last column: nearest neighbours and their distance in Å.
Space group P4/mnc (No. 128)
Unique sites:
Pa 0.1774 0.3223 0.0000 [8 per cell]  6 Ni 2.69-2.84
Ni 0.1254 0.6254 0.2500 [8 per cell]  1 Ni 2.52, 2 Pa 2.69, 2 Pt 2.80
Pt 0.0000 0.0000 0.2510 [4 per cell]  4 Ni 2.80


Result of the stability comparison: run 2 is the least stable of them.


Run 1
Density functional theory data (GGA-PBE) for a relaxed structure of PaNiPtRh.

Results
Fermi-level density of states = 12.39 states/eV/cell

a b c (Å): 6.5216 6.5216 6.5216
angles (deg): 90.00 90.00 90.00
Last column: nearest neighbours and their distance in Å.
Space group F-43m (No. 216)
Unique sites:
Pa 0.0000 0.0000 0.0000 [4 per cell]  4 Pt 2.82, 4 Rh 2.82
Ni 0.0000 0.0000 0.5000 [4 per cell]  4 Rh 2.82, 4 Pt 2.82
Pt 0.2500 0.2500 0.2500 [4 per cell]  4 Pa 2.82, 4 Ni 2.82
Rh 0.2500 0.2500 0.7500 [4 per cell]  4 Pa 2.82, 4 Ni 2.82


Run 2
Density functional theory data (GGA-PBE) for a relaxed structure of PaNiPtRh.

Results
Fermi-level density of states = 0.68 states/eV/cell

a b c (Å): 3.9484 4.0079 4.1823
angles (deg): 90.00 90.00 90.00
Last column: nearest neighbours and their distance in Å.
Space group Pmmm (No. 47)
Unique sites:
Pa 0.0000 0.0000 0.0000 [1 per cell]  4 Rh 2.81, 4 Ni 2.88, 4 Pt 2.90
Ni 0.5000 0.0000 0.5000 [1 per cell]  4 Pt 2.81, 4 Pa 2.88, 4 Rh 2.90
Pt 0.0000 0.5000 0.5000 [1 per cell]  4 Ni 2.81, 4 Rh 2.88, 4 Pa 2.90
Rh 0.5000 0.5000 0.0000 [1 per cell]  4 Pa 2.81, 4 Pt 2.88, 4 Ni 2.90


Result of the stability comparison: run 1 is the least stable of them.


Run 1
Density functional theory data (GGA-PBE) for a relaxed structure of Pu2PaNi.

Results
Fermi-level density of states = 10.84 states/eV/cell

a b c (Å): 3.4314 3.4314 7.0581
angles (deg): 90.00 90.00 90.00
Last column: nearest neighbours and their distance in Å.
Space group P4/mmm (No. 123)
Unique sites:
Pu 0.0000 0.0000 0.2191 [2 per cell]  4 Ni 2.88, 1 Pu 3.09, 4 Pa 3.13
Pa 0.5000 0.5000 0.5000 [1 per cell]  8 Pu 3.13, 4 Pa 3.43
Ni 0.5000 0.5000 0.0000 [1 per cell]  8 Pu 2.88


Run 2
Density functional theory data (GGA-PBE) for a relaxed structure of Pu2PaNi.

Results
Fermi-level density of states = 10.00 states/eV/cell

a b c (Å): 4.1089 4.1089 5.0463
angles (deg): 90.00 90.00 90.00
Last column: nearest neighbours and their distance in Å.
Space group P4/mmm (No. 123)
Unique sites:
Pu 0.0000 0.5000 0.0000 [2 per cell]  4 Pu 2.91, 4 Ni 3.25, 4 Pa 3.25
Pa 0.0000 0.0000 0.5000 [1 per cell]  4 Ni 2.91, 8 Pu 3.25
Ni 0.5000 0.5000 0.5000 [1 per cell]  4 Pa 2.91, 8 Pu 3.25


Result of the stability comparison: run 2 is the least stable of them.